[1]
First-principles (SCAN) data for a crystal of LaZn2Fe relaxed with PBEsol, as listed in the Alexandria database. Values from VASP.

Space group: No. 216
Density: 7.4 Mg/m³
VASP energy: -0.806 Ha/atom

The structure in Quantum ESPRESSO input format:
```
&SYSTEM
  ibrav = 0, nat = 4, ntyp = 3
/
ATOMIC_SPECIES
La 138.91 La.upf
Zn 65.41 Zn.upf
Fe 55.84 Fe.upf
ATOMIC_POSITIONS angstrom
La 0.000 0.000 0.000
Zn 3.317 3.317 3.317
Zn 4.976 4.976 4.976
Fe 1.659 1.659 1.659
CELL_PARAMETERS angstrom
0.000 3.317 3.317
3.317 0.000 3.317
3.317 3.317 0.000
```


[2]
First-principles (SCAN) data for a crystal of LaZnFe2 relaxed with PBEsol, as listed in the Alexandria database. Values from VASP.

Space group: No. 216
Density: 7.5 Mg/m³
VASP energy: -0.841 Ha/atom

The structure in Quantum ESPRESSO input format:
```
&SYSTEM
  ibrav = 0, nat = 4, ntyp = 3
/
ATOMIC_SPECIES
La 138.91 La.upf
Zn 65.41 Zn.upf
Fe 55.84 Fe.upf
ATOMIC_POSITIONS angstrom
La 0.000 0.000 0.000
Zn 1.633 1.633 1.633
Fe 3.267 3.267 3.267
Fe 4.900 4.900 4.900
CELL_PARAMETERS angstrom
0.000 3.267 3.267
3.267 0.000 3.267
3.267 3.267 0.000
```


[3]
First-principles (SCAN) data for a crystal of La2ZnFe relaxed with PBEsol, as listed in the Alexandria database. Values from VASP.

Space group: No. 38
Density: 6.9 Mg/m³
VASP energy: -1.083 Ha/atom

The structure in Quantum ESPRESSO input format:
```
&SYSTEM
  ibrav = 0, nat = 4, ntyp = 3
/
ATOMIC_SPECIES
La 138.91 La.upf
Zn 65.41 Zn.upf
Fe 55.84 Fe.upf
ATOMIC_POSITIONS angstrom
La 0.000 0.000 0.000
La 2.191 0.000 3.132
Zn 2.191 0.000 6.372
Fe 0.000 0.000 7.660
CELL_PARAMETERS angstrom
4.382 0.000 0.000
0.000 1.985 5.486
0.000 -1.985 5.486
```